1.
A relaxed structure of RbTbMnO3, computed with GGA+U.

abc: 7.0178 3.5481 9.6604
angles: 90.00 91.79 90.00
Space group P2_1/m (No. 11)
Unique sites:
Rb1 0.0894 0.2500 0.2743 (multiplicity 2)
Tb1 0.4279 0.7500 0.6415 (multiplicity 2)
Mn1 0.3856 0.2500 0.9106 (multiplicity 2)
O1 0.2437 0.2500 0.7257 (multiplicity 2)
O2 0.3747 0.7500 0.4127 (multiplicity 2)
O3 0.4468 0.2500 0.1207 (multiplicity 2)

Results
total DFT energy (no corrections): -82.934 eV for the cell shown
V: 240.43 Å³ per cell
crystal system: monoclinic
total magnetic moment: 5.00 μB per formula unit


2.
A relaxed structure of V10O9, computed with GGA+U.

abc: 5.4439 6.2879 7.0313
angles: 102.93 97.43 106.77
Space group P-1 (No. 2)
Unique sites:
V1 0.0007 0.2500 0.0006 (multiplicity 2)
V2 0.2047 0.6558 0.4019 (multiplicity 2)
V3 0.2058 0.1476 0.4014 (multiplicity 2)
V4 0.3989 0.5501 0.8001 (multiplicity 2)
V5 0.4008 0.0486 0.7947 (multiplicity 2)
O1 0.0941 0.6983 0.6980 (multiplicity 2)
O2 0.0996 0.1995 0.6995 (multiplicity 2)
O3 0.3005 0.6007 0.1006 (multiplicity 2)
O4 0.3015 0.0992 0.0973 (multiplicity 2)
O5 0.5000 0.5000 0.5000 (multiplicity 1)

Results
total DFT energy (no corrections): -145.095 eV for the cell shown
V: 219.71 Å³ per cell
crystal system: triclinic
total magnetic moment: 30.00 μB per formula unit